Record 1
A geometry-optimized RbZnRe3 structure, computed with GGA-PBE.

Lattice parameters (Å, degrees): 4.7337 4.7337 4.7337 90.00 90.00 90.00
Space group Pm-3m (No. 221)
Unique sites:
Rb: 0.0000 0.0000 0.0000 [1 per cell]
Zn: 0.5000 0.5000 0.5000 [1 per cell]
Re: 0.0000 0.5000 0.5000 [3 per cell]

Values from the calculation:
- Magnetization: 0.001 μB per atom
- Total energy: -26.467 eV per cell
- DFT formation energy: 2.62 eV/atom
- Energy above the lowest structure with this stoichiometry: 0.0 meV/atom
- Crystal system: cubic

***

Record 2
A geometry-optimized PdPtPb3 structure, computed with GGA-PBE.

Lattice parameters (Å, degrees): 5.3377 5.3377 5.3377 90.00 90.00 90.00
Space group Pm-3m (No. 221)
Unique sites:
Pd: 0.0000 0.0000 0.0000 [1 per cell]
Pt: 0.5000 0.5000 0.5000 [1 per cell]
Pb: 0.0000 0.5000 0.5000 [3 per cell]

Values from the calculation:
- Magnetization: 0.000 μB per atom
- Total energy: -20.508 eV per cell
- DFT formation energy: 0.37 eV/atom
- Energy above the lowest structure with this stoichiometry: 532.4 meV/atom
- Crystal system: cubic

***

Question: Which formula does entry 1 have?
Answer: RbZnRe3